1.
# Cs2SbAs2O6, optimized geometry, DFT GGA-PBE
data_Cs2SbAs2O6
_space_group_name_H-M_alt 'C 1 2/m 1'
_space_group_IT_number 12
_space_group_name_Hall '-C 2y'
_cell_length_a 10.561
_cell_length_b 6.085
_cell_length_c 7.911
_cell_angle_alpha 90.00
_cell_angle_beta 117.55
_cell_angle_gamma 90.00
loop_
_atom_site_label
_atom_site_type_symbol
_atom_site_fract_x
_atom_site_fract_y
_atom_site_fract_z
Cs1 Cs 0.222 0.000 0.179
Sb1 Sb 0.000 0.000 0.500
As1 As 0.072 0.500 0.230
O1 O 0.019 0.257 0.311
O2 O 0.238 0.000 0.683
# E	-5.41	eV/atom
# formation energy (no corrections)	-1.3321	eV/atom
# spin magnetization	0.00	μB/cell

2.
# SrLiGd2, optimized geometry, DFT GGA-PBE
data_SrLiGd2
_space_group_name_H-M_alt 'R -3 m'
_space_group_IT_number 166
_space_group_name_Hall '-R 3 2"'
_cell_length_a 3.5907
_cell_length_b 3.5907
_cell_length_c 36.8277
_cell_angle_alpha 90.00
_cell_angle_beta 90.00
_cell_angle_gamma 120.00
loop_
_atom_site_label
_atom_site_type_symbol
_atom_site_fract_x
_atom_site_fract_y
_atom_site_fract_z
Sr1 Sr 0.0000 0.0000 0.0000
Li1 Li 0.0000 0.0000 0.5000
Gd1 Gd 0.0000 0.0000 0.0957
# E	-7.61	eV/atom
# ΔE to the lowest computed polymorph	0.160	eV/atom
# spin magnetization	45.75	μB/cell
# formation enthalpy at 0 K	0.331	eV/atom

3.
# LaY3Ni8, optimized geometry, DFT GGA-PBE
data_LaY3Ni8
_space_group_name_H-M_alt 'R 3 m'
_space_group_IT_number 160
_space_group_name_Hall 'R 3 -2"'
_cell_length_a 5.1120
_cell_length_b 5.1120
_cell_length_c 25.1107
_cell_angle_alpha 90.00
_cell_angle_beta 90.00
_cell_angle_gamma 120.00
loop_
_atom_site_label
_atom_site_type_symbol
_atom_site_fract_x
_atom_site_fract_y
_atom_site_fract_z
La1 La 0.0000 0.0000 0.0000
Y1 Y 0.0000 0.0000 0.1255
Y2 Y 0.0000 0.0000 0.5000
Y3 Y 0.0000 0.0000 0.6244
Ni1 Ni 0.0000 0.0000 0.3121
Ni2 Ni 0.0000 0.0000 0.8126
Ni3 Ni 0.0007 0.5004 0.0639
Ni4 Ni 0.1683 0.3366 0.8945
# E	-6.27	eV/atom
# spin magnetization	0.00	μB/cell
# formation enthalpy at 0 K	-0.389	eV/atom

4.
# Tl2TeP6, optimized geometry, DFT GGA-PBE
data_Tl2TeP6
_space_group_name_H-M_alt 'P 1 21/c 1'
_space_group_IT_number 14
_space_group_name_Hall '-P 2ybc'
_cell_length_a 6.688
_cell_length_b 6.819
_cell_length_c 11.280
_cell_angle_alpha 90.00
_cell_angle_beta 103.79
_cell_angle_gamma 90.00
loop_
_atom_site_label
_atom_site_type_symbol
_atom_site_fract_x
_atom_site_fract_y
_atom_site_fract_z
Tl1 Tl 0.201 0.150 0.243
Te1 Te 0.000 0.000 0.500
P1 P 0.257 0.000 0.948
P2 P 0.306 0.728 0.590
P3 P 0.498 0.226 0.042
# E	-4.42	eV/atom
# ΔE to the lowest computed polymorph	0.000	eV/atom
# formation energy (no corrections)	0.0607	eV/atom
# spin magnetization	0.00	μB/cell

5.
# InTcPt, optimized geometry, DFT GGA-PBE
data_InTcPt
_space_group_name_H-M_alt 'I 4 m m'
_space_group_IT_number 107
_space_group_name_Hall 'I 4 -2'
_cell_length_a 2.896
_cell_length_b 2.896
_cell_length_c 12.076
_cell_angle_alpha 90.00
_cell_angle_beta 90.00
_cell_angle_gamma 90.00
loop_
_atom_site_label
_atom_site_type_symbol
_atom_site_fract_x
_atom_site_fract_y
_atom_site_fract_z
In1 In 0.000 0.000 0.000
Tc1 Tc 0.000 0.000 0.327
Pt1 Pt 0.000 0.000 0.681
# E	-6.39	eV/atom
# ΔE to the lowest computed polymorph	0.000	eV/atom
# spin magnetization	0.00	μB/cell
# formation enthalpy at 0 K	-0.013	eV/atom

6.
# Mg3Zn4Rh, optimized geometry, DFT GGA-PBE
data_Mg3Zn4Rh
_space_group_name_H-M_alt 'F m m m'
_space_group_IT_number 69
_space_group_name_Hall '-F 2 2'
_cell_length_a 6.317
_cell_length_b 6.326
_cell_length_c 13.010
_cell_angle_alpha 90.00
_cell_angle_beta 90.00
_cell_angle_gamma 90.00
loop_
_atom_site_label
_atom_site_type_symbol
_atom_site_fract_x
_atom_site_fract_y
_atom_site_fract_z
Mg1 Mg 0.000 0.000 0.000
Mg2 Mg 0.000 0.000 0.260
Zn1 Zn 0.250 0.250 0.116
Rh1 Rh 0.000 0.000 0.500
# E	-2.36	eV/atom
# spin magnetization	0.00	μB/cell
# formation enthalpy at 0 K	-0.205	eV/atom